# Tb6Nd2Tm3Pu (PBE, relaxed)
data_Tb6Nd2Tm3Pu
_chemical_formula_sum 'Tb12 Nd4 Tm6 Pu2'
_space_group_name_H-M_alt 'C 1 2/m 1'
_space_group_IT_number 12
_space_group_name_Hall '-C 2y'
_cell_length_a 6.1503
_cell_length_b 10.6630
_cell_length_c 11.7370
_cell_angle_alpha 90.00
_cell_angle_beta 100.12
_cell_angle_gamma 90.00
loop_
_atom_site_label
_atom_site_fract_x
_atom_site_fract_y
_atom_site_fract_z
Tb1 0.2455 0.0000 0.2474
Tb2 0.2486 0.1647 0.7525
Nd1 0.0000 0.3335 0.5000
Tm1 0.0000 0.1668 0.0000
Tm2 0.0000 0.5000 0.0000
Pu1 0.0000 0.0000 0.5000
# ΔH_f (0 K) ... 0.05 eV per atom
# M_tot ... 6.32 μB/f.u.

# AlTc2Ni (PBE, relaxed)
data_AlTc2Ni
_chemical_formula_sum 'Al2 Tc4 Ni2'
_space_group_name_H-M_alt 'I 4/m m m'
_space_group_IT_number 139
_space_group_name_Hall '-I 4 2'
_cell_length_a 3.6652
_cell_length_b 3.6652
_cell_length_c 8.1128
_cell_angle_alpha 90.00
_cell_angle_beta 90.00
_cell_angle_gamma 90.00
loop_
_atom_site_label
_atom_site_fract_x
_atom_site_fract_y
_atom_site_fract_z
Al1 0.0000 0.0000 0.0000
Tc1 0.0000 0.5000 0.2500
Ni1 0.0000 0.0000 0.5000
# ΔH_f (0 K) ... -0.12 eV per atom
# M_tot ... 0.00 μB/f.u.

# ZrAlOs2 (PBE, relaxed)
data_ZrAlOs2
_chemical_formula_sum 'Zr1 Al1 Os2'
_space_group_name_H-M_alt 'P m m 2'
_space_group_IT_number 25
_space_group_name_Hall 'P 2 -2'
_cell_length_a 2.8868
_cell_length_b 4.0837
_cell_length_c 5.4631
_cell_angle_alpha 90.00
_cell_angle_beta 90.00
_cell_angle_gamma 90.00
loop_
_atom_site_label
_atom_site_fract_x
_atom_site_fract_y
_atom_site_fract_z
Zr1 0.0000 0.0000 0.0000
Al1 0.5000 0.5000 0.2873
Os1 0.0000 0.0000 0.4954
Os2 0.5000 0.5000 0.7514
# ΔH_f (0 K) ... -0.17 eV per atom
# M_tot ... 0.00 μB/f.u.

# SrCa2PO (PBE, relaxed)
data_SrCa2PO
_chemical_formula_sum 'Sr1 Ca2 P1 O1'
_space_group_name_H-M_alt 'P 4/m m m'
_space_group_IT_number 123
_space_group_name_Hall '-P 4 2'
_cell_length_a 4.6416
_cell_length_b 4.6416
_cell_length_c 5.1463
_cell_angle_alpha 90.00
_cell_angle_beta 90.00
_cell_angle_gamma 90.00
loop_
_atom_site_label
_atom_site_fract_x
_atom_site_fract_y
_atom_site_fract_z
Sr1 0.0000 0.0000 0.0000
Ca1 0.0000 0.5000 0.5000
P1 0.5000 0.5000 0.0000
O1 0.0000 0.0000 0.5000
# Formation energy without anion corrections ... -1.48 eV/atom
# M_tot ... 0.00 μB/f.u.

# Mn2BeAlH (PBE, relaxed)
data_Mn2BeAlH
_chemical_formula_sum 'Mn2 Be1 Al1 H1'
_space_group_name_H-M_alt 'P 4/m m m'
_space_group_IT_number 123
_space_group_name_Hall '-P 4 2'
_cell_length_a 3.7175
_cell_length_b 3.7175
_cell_length_c 3.5153
_cell_angle_alpha 90.00
_cell_angle_beta 90.00
_cell_angle_gamma 90.00
loop_
_atom_site_label
_atom_site_fract_x
_atom_site_fract_y
_atom_site_fract_z
Mn1 0.0000 0.5000 0.0000
Be1 0.0000 0.0000 0.5000
Al1 0.5000 0.5000 0.5000
H1 0.0000 0.0000 0.0000
# M_tot ... 4.52 μB/f.u.

# LiEr2BePt6 (PBE, relaxed)
data_LiEr2BePt6
_chemical_formula_sum 'Li3 Er6 Be3 Pt18'
_space_group_name_H-M_alt 'R -3 m'
_space_group_IT_number 166
_space_group_name_Hall '-R 3 2"'
_cell_length_a 5.5470
_cell_length_b 5.5470
_cell_length_c 20.2019
_cell_angle_alpha 90.00
_cell_angle_beta 90.00
_cell_angle_gamma 120.00
loop_
_atom_site_label
_atom_site_fract_x
_atom_site_fract_y
_atom_site_fract_z
Li1 0.0000 0.0000 0.0000
Er1 0.0000 0.0000 0.2949
Be1 0.0000 0.0000 0.5000
Pt1 0.0058 0.5029 0.7584
# ΔH_f (0 K) ... -0.83 eV per atom
# M_tot ... 0.00 μB/f.u.

# Li2WAu (PBE, relaxed)
data_Li2WAu
_chemical_formula_sum 'Li8 W4 Au4'
_space_group_name_H-M_alt 'F -4 3 m'
_space_group_IT_number 216
_space_group_name_Hall 'F -4 2 3'
_cell_length_a 6.2362
_cell_length_b 6.2362
_cell_length_c 6.2362
_cell_angle_alpha 90.00
_cell_angle_beta 90.00
_cell_angle_gamma 90.00
loop_
_atom_site_label
_atom_site_fract_x
_atom_site_fract_y
_atom_site_fract_z
Li1 0.0000 0.0000 0.0000
Li2 0.2500 0.2500 0.2500
W1 0.0000 0.0000 0.5000
Au1 0.2500 0.2500 0.7500
# ΔH_f (0 K) ... 0.47 eV per atom
# M_tot ... 1.04 μB/f.u.

# In4BiPd15 (PBE, relaxed)
data_In4BiPd15
_chemical_formula_sum 'In4 Bi1 Pd15'
_space_group_name_H-M_alt 'P 4/m m m'
_space_group_IT_number 123
_space_group_name_Hall '-P 4 2'
_cell_length_a 4.0525
_cell_length_b 4.0525
_cell_length_c 20.3383
_cell_angle_alpha 90.00
_cell_angle_beta 90.00
_cell_angle_gamma 90.00
loop_
_atom_site_label
_atom_site_fract_x
_atom_site_fract_y
_atom_site_fract_z
In1 0.0000 0.0000 0.0989
In2 0.0000 0.0000 0.2953
Bi1 0.0000 0.0000 0.5000
Pd1 0.0000 0.5000 0.0000
Pd2 0.0000 0.5000 0.1978
Pd3 0.0000 0.5000 0.3965
Pd4 0.5000 0.5000 0.0990
Pd5 0.5000 0.5000 0.2984
Pd6 0.5000 0.5000 0.5000
# ΔH_f (0 K) ... -0.40 eV per atom
# M_tot ... 0.00 μB/f.u.

The following uncorrected energy values (in eV/atom) correspond, in order, to the records above: -5.370, -7.686, -8.859, -4.686, -5.948, -5.935, -4.542, -5.039.